Record 1
A relaxed CaTa2Zn crystal, computed with PBE-GGA.

abc: 10.494 10.494 10.494
angles: 16.32 16.32 16.32
Positions (direct):
Ca1 0.000 0.000 0.000
Ta1 0.242 0.242 0.242
Ta2 0.758 0.758 0.758
Zn1 0.500 0.500 0.500

Properties
- Total magnetization: 0.00 μB per formula unit
- Calculated volume: 79.6 Å³/cell
- DOS(E_F): 5.5 states/eV per cell
- E_form: 0.55 eV/atom

***

Record 2
A relaxed CaTa2Zn crystal, computed with PBE-GGA.

abc: 2.910 2.910 9.587
angles: 90.00 90.00 101.65
Positions (direct):
Ca1 0.000 0.000 0.000
Ta1 0.000 0.000 0.526
Ta2 0.500 0.500 0.296
Zn1 0.500 0.500 0.747

Properties
- Total magnetization: 0.00 μB per formula unit
- Calculated volume: 79.5 Å³/cell
- DOS(E_F): 2.8 states/eV per cell
- E_form: 0.27 eV/atom

***

Please write out number 1 again, unchanged.
A relaxed CaTa2Zn crystal, computed with PBE-GGA.

abc: 10.494 10.494 10.494
angles: 16.32 16.32 16.32
Positions (direct):
Ca1 0.000 0.000 0.000
Ta1 0.242 0.242 0.242
Ta2 0.758 0.758 0.758
Zn1 0.500 0.500 0.500

Properties
- Total magnetization: 0.00 μB per formula unit
- Calculated volume: 79.6 Å³/cell
- DOS(E_F): 5.5 states/eV per cell
- E_form: 0.55 eV/atom

***

Repeat the first record exactly.
A relaxed CaTa2Zn crystal, computed with PBE-GGA.

abc: 10.494 10.494 10.494
angles: 16.32 16.32 16.32
Positions (direct):
Ca1 0.000 0.000 0.000
Ta1 0.242 0.242 0.242
Ta2 0.758 0.758 0.758
Zn1 0.500 0.500 0.500

Properties
- Total magnetization: 0.00 μB per formula unit
- Calculated volume: 79.6 Å³/cell
- DOS(E_F): 5.5 states/eV per cell
- E_form: 0.55 eV/atom

***

- Which value of calculated volume does entry 1 give?
  79.6 Å³/cell

***

- Number 2 is which compound?
  CaTa2Zn